A.
Compound: Ge2Pt2Pb
Source: the Alexandria database
Functional: GGA-PBE
Structure: optimized geometry

## Properties
DOS(E_F): 4.51 states/eV per cell
Symmetry: C2/c (15)

abc: 6.756 6.756 6.669
angles: 116.70 116.70 97.83
Positions (direct):
1 Ge 0.774 0.531 0.557
2 Ge 0.469 0.226 0.943
3 Ge 0.531 0.774 0.057
4 Ge 0.226 0.469 0.443
5 Pt 0.422 0.578 0.250
6 Pt 0.821 0.179 0.250
7 Pt 0.179 0.821 0.750
8 Pt 0.578 0.422 0.750
9 Pb 0.122 0.878 0.250
10 Pb 0.878 0.122 0.750

=====

B.
Compound: Ge2Pt2Pb
Source: the Alexandria database
Functional: GGA-PBE
Structure: optimized geometry

## Properties
DOS(E_F): 2.98 states/eV per cell
Symmetry: I4/mmm (139)

abc: 4.388 4.388 6.179
angles: 69.20 69.20 90.00
Positions (direct):
1 Pb 0.000 0.000 0.000
2 Ge 0.750 0.250 0.500
3 Ge 0.250 0.750 0.500
4 Pt 0.368 0.368 0.263
5 Pt 0.632 0.632 0.737

=====

C.
Compound: Ge2Pt2Pb
Source: the Alexandria database
Functional: GGA-PBE
Structure: optimized geometry

## Properties
DOS(E_F): 1.63 states/eV per cell
Symmetry: I4/mmm (139)

abc: 4.532 4.532 5.845
angles: 67.19 67.19 90.00
Positions (direct):
1 Pb 0.000 0.000 0.000
2 Ge 0.369 0.369 0.262
3 Ge 0.631 0.631 0.738
4 Pt 0.750 0.250 0.500
5 Pt 0.250 0.750 0.500

=====

It turns out C is the most stable, with the second structure 1.4 kJ/mol of atoms higher.

=====

A.
Compound: GePt3Pb
Source: the Alexandria database
Functional: GGA-PBE
Structure: optimized geometry

## Properties
DOS(E_F): 2.05 states/eV per cell
Symmetry: Pm-3m (221)

abc: 5.063 5.063 5.063
angles: 90.00 90.00 90.00
Positions (direct):
1 Pb 0.000 0.000 0.000
2 Ge 0.500 0.500 0.500
3 Pt 0.000 0.500 0.000
4 Pt 0.000 0.000 0.500
5 Pt 0.500 0.000 0.000

=====

B.
Compound: GePt3Pb
Source: the Alexandria database
Functional: GGA-PBE
Structure: optimized geometry

## Properties
DOS(E_F): 1.61 states/eV per cell
Symmetry: Pm-3m (221)

abc: 4.747 4.747 4.747
angles: 90.00 90.00 90.00
Positions (direct):
1 Pb 0.500 0.500 0.500
2 Ge 0.000 0.000 0.000
3 Pt 0.000 0.500 0.000
4 Pt 0.000 0.000 0.500
5 Pt 0.500 0.000 0.000

=====

It turns out B is the most stable, with the second structure 95.2 kJ/mol of atoms higher.